Record 1
VASP calculation (GGA-PBE) on a geometry-optimized LaHgOs2 structure.

Values from the calculation:
* DFT formation energy: 0.586 eV/atom
* magnetization: 1.6 μB per cell

Cell lengths 2.9519, 2.9519, 30.8470 Å; angles 90.00, 90.00, 120.00 degrees
Space group R3m (No. 160, hexagonal axes)
Inequivalent atoms, fractional coordinates:
La  0.0000  0.0000  0.0000 [3 per cell]
Hg  0.0000  0.0000  0.2349 [3 per cell]
Os  0.0000  0.0000  0.4864 [3 per cell]
Os  0.0000  0.0000  0.7564 [3 per cell]

Record 2
VASP calculation (GGA-PBE) on a geometry-optimized LaHgOs3 structure.

Values from the calculation:
* DFT formation energy: 2.814 eV/atom
* magnetization: 2.5 μB per cell

Cell lengths 4.901, 4.901, 4.901 Å; angles 90.00, 90.00, 90.00 degrees
Space group Pm-3m (No. 221)
Inequivalent atoms, fractional coordinates:
La  0.000  0.000  0.000 [1 per cell]
Hg  0.500  0.500  0.500 [1 per cell]
Os  0.000  0.000  0.500 [3 per cell]

Record 3
VASP calculation (GGA-PBE) on a geometry-optimized LaHgOs2 structure.

Values from the calculation:
* DFT formation energy: 0.801 eV/atom
* magnetization: 0.0 μB per cell

Cell lengths 3.255, 5.220, 9.286 Å; angles 90.00, 90.00, 90.00 degrees
Space group Immm (No. 71)
Inequivalent atoms, fractional coordinates:
La  0.000  0.000  0.000 [2 per cell]
Hg  0.000  0.000  0.500 [2 per cell]
Os  0.000  0.500  0.247 [4 per cell]

Record 4
VASP calculation (GGA-PBE) on a geometry-optimized LaHgOs structure.

Values from the calculation:
* DFT formation energy: 0.310 eV/atom
* magnetization: 0.0 μB per cell

Cell lengths 6.765, 6.765, 6.765 Å; angles 90.00, 90.00, 90.00 degrees
Space group F-43m (No. 216)
Inequivalent atoms, fractional coordinates:
La  0.000  0.000  0.000 [4 per cell]
Hg  0.000  0.000  0.500 [4 per cell]
Os  0.250  0.250  0.750 [4 per cell]